[1]
DFT (SCAN) results for Na2BeBi at its PBEsol-relaxed geometry.

Results
Energy   -180.4 eV for the cell shown
ΔE_f   0.2890 eV per atom
Crystal system   tetragonal

Cell lengths 8.015, 8.015, 8.015 Å; angles 94.96, 94.96, 145.80 degrees
Sites, in units of the cell vectors:
Na 0.375 0.202 0.327
Na 0.798 0.125 0.173
Na 0.875 0.048 0.673
Na 0.952 0.625 0.827
Be 0.000 0.000 0.000
Be 0.750 0.250 0.500
Bi 0.250 0.750 0.500
Bi 0.500 0.500 0.000

---

[2]
DFT (SCAN) results for Be2Nb2Bi at its PBEsol-relaxed geometry.

Results
Energy   -150.9 eV for the cell shown
ΔE_f   0.5259 eV per atom
Crystal system   tetragonal

Cell lengths 6.979, 6.979, 6.979 Å; angles 150.39, 150.39, 42.36 degrees
Sites, in units of the cell vectors:
Be 0.250 0.750 0.500
Be 0.750 0.250 0.500
Nb 0.114 0.114 0.000
Nb 0.886 0.886 0.000
Bi 0.500 0.500 0.000

---

[3]
DFT (SCAN) results for BeBi2O at its PBEsol-relaxed geometry.

Results
Energy   -334.6 eV for the cell shown
Offset from the most stable computed form   0 meV per atom
Crystal system   tetragonal
Uncorrected formation energy   0.11 eV/atom

Cell lengths 7.238, 7.238, 7.238 Å; angles 136.92, 136.92, 62.56 degrees
Sites, in units of the cell vectors:
Be 0.000 0.000 0.000
Be 0.750 0.250 0.500
Bi 0.149 0.625 0.024
Bi 0.375 0.399 0.524
Bi 0.601 0.125 0.976
Bi 0.875 0.851 0.476
O 0.250 0.750 0.500
O 0.500 0.500 0.000

---

[4]
DFT (SCAN) results for BeBi12O20 at its PBEsol-relaxed geometry.

Results
Energy   -1109.7 eV for the cell shown
Crystal system   cubic
Uncorrected formation energy   -1.14 eV/atom

Cell lengths 8.760, 8.760, 8.760 Å; angles 109.47, 109.47, 109.47 degrees
Sites, in units of the cell vectors:
Be 0.000 0.000 0.000
Bi 0.141 0.304 0.817
Bi 0.163 0.859 0.676
Bi 0.183 0.487 0.324
Bi 0.304 0.817 0.141
Bi 0.324 0.183 0.487
Bi 0.487 0.324 0.183
Bi 0.513 0.696 0.837
Bi 0.676 0.163 0.859
Bi 0.696 0.837 0.513
Bi 0.817 0.141 0.304
Bi 0.837 0.513 0.696
Bi 0.859 0.676 0.163
O 0.000 0.000 0.195
O 0.000 0.000 0.600
O 0.000 0.195 0.000
O 0.000 0.600 0.000
O 0.121 0.761 0.381
O 0.195 0.000 0.000
O 0.239 0.360 0.620
O 0.260 0.640 0.879
O 0.360 0.620 0.239
O 0.380 0.740 0.619
O 0.381 0.121 0.761
O 0.400 0.400 0.400
O 0.600 0.000 0.000
O 0.619 0.380 0.740
O 0.620 0.239 0.360
O 0.640 0.879 0.260
O 0.740 0.619 0.380
O 0.761 0.381 0.121
O 0.805 0.805 0.805
O 0.879 0.260 0.640

---

[5]
DFT (SCAN) results for BeBi2O at its PBEsol-relaxed geometry.

Results
Energy   -166.2 eV for the cell shown
Offset from the most stable computed form   276 meV per atom
Crystal system   cubic
Uncorrected formation energy   0.38 eV/atom

Cell lengths 4.624, 4.624, 4.624 Å; angles 60.00, 60.00, 60.00 degrees
Sites, in units of the cell vectors:
Be 0.000 0.000 0.000
Bi 0.250 0.250 0.250
Bi 0.750 0.750 0.750
O 0.500 0.500 0.500

---

[6]
DFT (SCAN) results for BeBiPtO2 at its PBEsol-relaxed geometry.

Results
Energy   -163.5 eV for the cell shown
Crystal system   tetragonal
Uncorrected formation energy   0.42 eV/atom

Cell lengths 4.038, 4.038, 5.458 Å; angles 90.00, 90.00, 90.00 degrees
Sites, in units of the cell vectors:
Be 0.000 0.000 0.000
Bi 0.500 0.500 0.500
Pt 0.500 0.500 0.000
O 0.000 0.500 0.500
O 0.500 0.000 0.500

---

[7]
DFT (SCAN) results for Be3BiOs at its PBEsol-relaxed geometry.

Results
Energy   -160.7 eV for the cell shown
ΔE_f   0.5598 eV per atom
Crystal system   cubic

Cell lengths 4.298, 4.298, 4.298 Å; angles 90.00, 90.00, 90.00 degrees
Sites, in units of the cell vectors:
Be 0.000 0.000 0.500
Be 0.000 0.500 0.000
Be 0.500 0.000 0.000
Bi 0.500 0.500 0.500
Os 0.000 0.000 0.000

---

[8]
DFT (SCAN) results for Be2BiOs at its PBEsol-relaxed geometry.

Results
Energy   -312.9 eV for the cell shown
ΔE_f   0.6759 eV per atom
Crystal system   tetragonal

Cell lengths 8.572, 8.572, 8.572 Å; angles 152.48, 152.48, 39.32 degrees
Sites, in units of the cell vectors:
Be 0.000 0.000 0.000
Be 0.000 0.000 0.500
Be 0.000 0.500 0.000
Be 0.500 0.000 0.500
Bi 0.375 0.625 0.750
Bi 0.625 0.375 0.250
Os 0.125 0.875 0.250
Os 0.875 0.125 0.750

---

[9]
DFT (SCAN) results for BeBiOsS2 at its PBEsol-relaxed geometry.

Results
Energy   -167.9 eV for the cell shown
Crystal system   tetragonal
Uncorrected formation energy   1.24 eV/atom

Cell lengths 4.179, 4.179, 4.855 Å; angles 90.00, 90.00, 90.00 degrees
Sites, in units of the cell vectors:
Be 0.000 0.000 0.000
Bi 0.000 0.000 0.500
Os 0.500 0.500 0.500
S 0.000 0.500 0.000
S 0.500 0.000 0.000

---

[10]
DFT (SCAN) results for BeBiP3 at its PBEsol-relaxed geometry.

Results
Energy   -110.7 eV for the cell shown
ΔE_f   0.6919 eV per atom
Crystal system   cubic

Cell lengths 4.395, 4.395, 4.395 Å; angles 90.00, 90.00, 90.00 degrees
Sites, in units of the cell vectors:
Be 0.000 0.000 0.000
Bi 0.500 0.500 0.500
P 0.000 0.000 0.500
P 0.000 0.500 0.000
P 0.500 0.000 0.000

---

[11]
DFT (SCAN) results for BeBiP2 at its PBEsol-relaxed geometry.

Results
Energy   -206.9 eV for the cell shown
ΔE_f   0.0644 eV per atom
Crystal system   tetragonal

Cell lengths 6.775, 6.775, 6.775 Å; angles 131.78, 131.78, 70.58 degrees
Sites, in units of the cell vectors:
Be 0.000 0.000 0.000
Be 0.750 0.250 0.500
Bi 0.250 0.750 0.500
Bi 0.500 0.500 0.000
P 0.034 0.625 0.909
P 0.375 0.284 0.409
P 0.716 0.125 0.091
P 0.875 0.966 0.591

---

[12]
DFT (SCAN) results for Be2TcBiPd at its PBEsol-relaxed geometry.

Results
Energy   -150.5 eV for the cell shown
ΔE_f   0.9240 eV per atom
Crystal system   tetragonal

Cell lengths 4.168, 4.168, 5.234 Å; angles 90.00, 90.00, 90.00 degrees
Sites, in units of the cell vectors:
Be 0.000 0.500 0.000
Be 0.500 0.000 0.000
Tc 0.000 0.000 0.500
Bi 0.500 0.500 0.500
Pd 0.500 0.500 0.000